This record from Alexandria describes crystalline BaNa6Cd2 at its relaxed geometry. The functional is PBE.

a b c (Å): 4.933 4.933 13.001
angles (deg): 90.00 90.00 90.00
Space group P4/mmm (No. 123)
One atom of each set of equivalent atoms:
Ba 0.000 0.000 0.000
Na 0.000 0.000 0.500
Na 0.000 0.500 0.278
Na 0.500 0.500 0.500
Cd 0.500 0.500 0.115

- ρ (Mg/m³) = 2.63
- size of the total moment (μB/cell) = 0.000
- formation enthalpy at 0 K (eV per formula unit) = -0.8

---

This record from Alexandria describes crystalline TaWBr2 at its relaxed geometry. The functional is PBE.

a b c (Å): 3.050 3.930 6.065
angles (deg): 90.00 90.00 90.00
Space group Pmmm (No. 47)
One atom of each set of equivalent atoms:
Ta 0.000 0.000 0.000
W 0.000 0.000 0.500
Br 0.500 0.500 0.251

- ρ (Mg/m³) = 11.98
- raw formation energy (meV/atom) = 1376
- size of the total moment (μB/cell) = 0.000
- distance to the lowest polymorph of the same formula (eV/atom) = 1.4308

---

Please write out number 1 again, unchanged.
This record from Alexandria describes crystalline BaNa6Cd2 at its relaxed geometry. The functional is PBE.

a b c (Å): 4.933 4.933 13.001
angles (deg): 90.00 90.00 90.00
Space group P4/mmm (No. 123)
One atom of each set of equivalent atoms:
Ba 0.000 0.000 0.000
Na 0.000 0.000 0.500
Na 0.000 0.500 0.278
Na 0.500 0.500 0.500
Cd 0.500 0.500 0.115

- ρ (Mg/m³) = 2.63
- size of the total moment (μB/cell) = 0.000
- formation enthalpy at 0 K (eV per formula unit) = -0.8

---

Repeat the first record exactly.
This record from Alexandria describes crystalline BaNa6Cd2 at its relaxed geometry. The functional is PBE.

a b c (Å): 4.933 4.933 13.001
angles (deg): 90.00 90.00 90.00
Space group P4/mmm (No. 123)
One atom of each set of equivalent atoms:
Ba 0.000 0.000 0.000
Na 0.000 0.000 0.500
Na 0.000 0.500 0.278
Na 0.500 0.500 0.500
Cd 0.500 0.500 0.115

- ρ (Mg/m³) = 2.63
- size of the total moment (μB/cell) = 0.000
- formation enthalpy at 0 K (eV per formula unit) = -0.8

---

What did the first record say?
This record from Alexandria describes crystalline BaNa6Cd2 at its relaxed geometry. The functional is PBE.

a b c (Å): 4.933 4.933 13.001
angles (deg): 90.00 90.00 90.00
Space group P4/mmm (No. 123)
One atom of each set of equivalent atoms:
Ba 0.000 0.000 0.000
Na 0.000 0.000 0.500
Na 0.000 0.500 0.278
Na 0.500 0.500 0.500
Cd 0.500 0.500 0.115

- ρ (Mg/m³) = 2.63
- size of the total moment (μB/cell) = 0.000
- formation enthalpy at 0 K (eV per formula unit) = -0.8